--- A ---
Density functional theory data (PBE-GGA) for a relaxed structure of RbYF2.

Results
Volume, Å³ per atom: 25.778

CIF file:
```
data_RbYF2
_chemical_formula_sum 'Rb3 Y3 F6'
_space_group_name_H-M_alt 'R -3 m'
_space_group_IT_number 166
_space_group_name_Hall '-R 3 2"'
_cell_length_a 3.9840
_cell_length_b 3.9840
_cell_length_c 22.5047
_cell_angle_alpha 90.00
_cell_angle_beta 90.00
_cell_angle_gamma 120.00
loop_
_atom_site_label
_atom_site_type_symbol
_atom_site_fract_x
_atom_site_fract_y
_atom_site_fract_z
_atom_site_occupancy
Rb1 Rb 0.0000 0.0000 0.0000 1
Y1 Y 0.0000 0.0000 0.5000 1
F1 F 0.0000 0.0000 0.4042 1
```

--- B ---
Density functional theory data (PBE-GGA) for a relaxed structure of RbYF2.

Results
Volume, Å³ per atom: 28.945

CIF file:
```
data_RbYF2
_chemical_formula_sum 'Rb4 Y4 F8'
_space_group_name_H-M_alt 'I -4 2 d'
_space_group_IT_number 122
_space_group_name_Hall 'I -4 2bw'
_cell_length_a 5.8710
_cell_length_b 5.8710
_cell_length_c 13.4360
_cell_angle_alpha 90.00
_cell_angle_beta 90.00
_cell_angle_gamma 90.00
loop_
_atom_site_label
_atom_site_type_symbol
_atom_site_fract_x
_atom_site_fract_y
_atom_site_fract_z
_atom_site_occupancy
Rb1 Rb 0.0000 0.0000 0.0000 1
Y1 Y 0.0000 0.0000 0.5000 1
F1 F 0.0322 0.2500 0.6250 1
```

Relative stability in meV per atom, measured from the most stable structure: A 0; B 279